Entry 1:
Compound: RbOs3Ru
Source: the Alexandria database
Functional: PBE-GGA
Structure: optimized geometry

Structure (POSCAR):
```
RbOs3Ru
1.0
4.627 0.000 0.000
0.000 4.627 0.000
0.000 0.000 4.627
Rb Os Ru
1 3 1
direct
0.000 0.000 0.000
0.000 0.000 0.500
0.000 0.500 0.000
0.500 0.000 0.000
0.500 0.500 0.500
```

- Space-group type: Pm-3m (221)
- Electronic total energy: -4.459 eV per atom
- Calculated density: 12.69 g cm⁻³

Entry 2:
Compound: TiOs2RuAu
Source: the Alexandria database
Functional: PBE-GGA
Structure: optimized geometry

Structure (POSCAR):
```
TiOs2RuAu
1.0
4.555 0.000 0.000
0.000 4.555 0.000
0.000 0.000 4.472
Ti Os Ru Au
1 2 1 1
direct
0.000 0.000 0.000
0.000 0.500 0.000
0.500 0.000 0.000
0.000 0.000 0.500
0.500 0.500 0.500
```

- Space-group type: P4/mmm (123)
- Electronic total energy: -6.968 eV per atom
- Calculated density: 13.00 g cm⁻³

Entry 3:
Compound: PSeF2
Source: the Alexandria database
Functional: PBE-GGA
Structure: optimized geometry

Structure (POSCAR):
```
PSeF2
1.0
1.417 0.818 8.835
-1.417 0.818 8.835
0.000 -1.636 8.835
P Se F
1 1 2
direct
0.000 0.000 0.000
0.500 0.500 0.500
0.429 0.429 0.429
0.571 0.571 0.571
```

- Space-group type: R-3m (166)
- ΔE_f (raw): -464.7 meV per atom
- Calculated density: 4.00 g cm⁻³

Entry 4:
Compound: TaFe12
Source: the Alexandria database
Functional: PBE-GGA
Structure: optimized geometry

Structure (POSCAR):
```
TaFe12
1.0
0.000 4.560 4.560
4.560 0.000 4.560
4.560 4.560 0.000
Ta Fe
1 12
direct
0.000 0.000 0.000
0.155 0.500 0.500
0.155 0.500 0.845
0.155 0.845 0.500
0.500 0.155 0.500
0.500 0.155 0.845
0.500 0.500 0.155
0.500 0.500 0.845
0.500 0.845 0.155
0.500 0.845 0.500
0.845 0.155 0.500
0.845 0.500 0.155
0.845 0.500 0.500
```

- Space-group type: Fm-3m (225)
- Electronic total energy: -7.555 eV per atom
- Calculated density: 7.45 g cm⁻³

Entry 5:
Compound: Mn3AlH
Source: the Alexandria database
Functional: PBE-GGA
Structure: optimized geometry

Structure (POSCAR):
```
Mn3AlH
1.0
6.269 -3.753 0.000
6.269 3.753 0.000
-0.685 0.000 4.391
Mn Al H
12 4 4
direct
0.073 0.577 0.370
0.087 0.260 0.134
0.243 0.404 0.874
0.260 0.087 0.634
0.404 0.243 0.374
0.423 0.927 0.130
0.577 0.073 0.870
0.596 0.757 0.626
0.740 0.913 0.366
0.757 0.596 0.126
0.913 0.740 0.866
0.927 0.423 0.630
0.096 0.904 0.250
0.293 0.707 0.750
0.707 0.293 0.250
0.904 0.096 0.750
0.322 0.490 0.245
0.490 0.322 0.745
0.510 0.678 0.255
0.678 0.510 0.755
```

- Space-group type: C2/c (15)
- Electronic total energy: -6.904 eV per atom
- Calculated density: 6.20 g cm⁻³

Entry 6:
Compound: Li2ReSi
Source: the Alexandria database
Functional: PBE-GGA
Structure: optimized geometry

Structure (POSCAR):
```
Li2ReSi
1.0
1.351 0.780 9.076
-1.351 0.780 9.076
0.000 -1.560 9.076
Li Re Si
2 1 1
direct
0.248 0.248 0.248
0.752 0.752 0.752
0.000 0.000 0.000
0.500 0.500 0.500
```

- Space-group type: R-3m (166)
- ΔE_f (raw): 175.0 meV per atom
- Calculated density: 6.61 g cm⁻³

Entry 7:
Compound: InRu2Br
Source: the Alexandria database
Functional: PBE-GGA
Structure: optimized geometry

Structure (POSCAR):
```
InRu2Br
1.0
4.321 -1.525 0.000
4.321 1.525 0.000
-1.310 0.000 5.326
In Ru Br
1 2 1
direct
0.000 0.000 0.000
0.254 0.254 0.708
0.746 0.746 0.292
0.500 0.500 0.500
```

- Space-group type: C2/m (12)
- ΔE_f (raw): 592.1 meV per atom
- Calculated density: 9.39 g cm⁻³

Entry 8:
Compound: TlInPd3
Source: the Alexandria database
Functional: PBE-GGA
Structure: optimized geometry

Structure (POSCAR):
```
TlInPd3
1.0
4.997 0.000 0.000
0.000 4.997 0.000
0.000 0.000 4.997
Tl In Pd
1 1 3
direct
0.000 0.000 0.000
0.500 0.500 0.500
0.000 0.500 0.500
0.500 0.000 0.500
0.500 0.500 0.000
```

- Space-group type: Pm-3m (221)
- Electronic total energy: -3.698 eV per atom
- Calculated density: 8.50 g cm⁻³

Table of magnetization (μB/f.u.), in record order: 2.08 1.88 0.00 8.66 0.00 0.00 0.00 0.00